# 1
# Ba2CaCoTe

Ba2CaCoTe after structural relaxation (GGA-PBE, Alexandria).

Its volume is 36.9 A^3/atom. Its raw formation energy is -0.13 eV per atom.

The structure in CIF format:
```
data_Ba2CaCoTe
_cell_length_a 6.1447
_cell_length_b 6.1447
_cell_length_c 4.8802
_cell_angle_alpha 90.00
_cell_angle_beta 90.00
_cell_angle_gamma 90.00
_symmetry_space_group_name_H-M 'P 1'
_symmetry_Int_Tables_number 1
loop_
_symmetry_equiv_pos_as_xyz
'x,y,z'
loop_
_atom_site_label
_atom_site_fract_x
_atom_site_fract_y
_atom_site_fract_z
_atom_site_occupancy
Ba1 0.0000 0.5000 0.0000 1
Ba2 0.5000 0.0000 0.0000 1
Ca1 0.0000 0.0000 0.5000 1
Co1 0.5000 0.5000 0.0000 1
Te1 0.5000 0.5000 0.5000 1
```

=====

# 2
# BaCa2TlCo

BaCa2TlCo after structural relaxation (GGA-PBE, Alexandria).

Its volume is 31.3 A^3/atom. The energy of formation from the pure elements comes out at 0.053 eV/f.u.

The structure in CIF format:
```
data_BaCa2TlCo
_cell_length_a 5.4368
_cell_length_b 5.4368
_cell_length_c 5.2866
_cell_angle_alpha 90.00
_cell_angle_beta 90.00
_cell_angle_gamma 90.00
_symmetry_space_group_name_H-M 'P 1'
_symmetry_Int_Tables_number 1
loop_
_symmetry_equiv_pos_as_xyz
'x,y,z'
loop_
_atom_site_label
_atom_site_fract_x
_atom_site_fract_y
_atom_site_fract_z
_atom_site_occupancy
Ba1 0.0000 0.0000 0.0000 1
Ca1 0.0000 0.5000 0.5000 1
Ca2 0.5000 0.0000 0.5000 1
Tl1 0.5000 0.5000 0.0000 1
Co1 0.5000 0.5000 0.5000 1
```

=====

# 3
# BaCaZn2Co

BaCaZn2Co after structural relaxation (GGA-PBE, Alexandria).

Its volume is 24.7 A^3/atom. The energy of formation from the pure elements comes out at 0.116 eV/f.u.

The structure in CIF format:
```
data_BaCaZn2Co
_cell_length_a 4.9784
_cell_length_b 4.9784
_cell_length_c 4.9774
_cell_angle_alpha 90.00
_cell_angle_beta 90.00
_cell_angle_gamma 90.00
_symmetry_space_group_name_H-M 'P 1'
_symmetry_Int_Tables_number 1
loop_
_symmetry_equiv_pos_as_xyz
'x,y,z'
loop_
_atom_site_label
_atom_site_fract_x
_atom_site_fract_y
_atom_site_fract_z
_atom_site_occupancy
Ba1 0.0000 0.0000 0.0000 1
Ca1 0.5000 0.5000 0.0000 1
Zn1 0.0000 0.5000 0.5000 1
Zn2 0.5000 0.0000 0.5000 1
Co1 0.5000 0.5000 0.5000 1
```

=====

# 4
# BaCaCr4

BaCaCr4 after structural relaxation (GGA-PBE, Alexandria).

Its volume is 25.7 A^3/atom. The energy of formation from the pure elements comes out at 5.743 eV/f.u.

The structure in CIF format:
```
data_BaCaCr4
_cell_length_a 6.0182
_cell_length_b 6.0182
_cell_length_c 6.0182
_cell_angle_alpha 60.00
_cell_angle_beta 60.00
_cell_angle_gamma 60.00
_symmetry_space_group_name_H-M 'P 1'
_symmetry_Int_Tables_number 1
loop_
_symmetry_equiv_pos_as_xyz
'x,y,z'
loop_
_atom_site_label
_atom_site_fract_x
_atom_site_fract_y
_atom_site_fract_z
_atom_site_occupancy
Ba1 0.0000 0.0000 0.0000 1
Ca1 0.7500 0.7500 0.7500 1
Cr1 0.3760 0.3760 0.3760 1
Cr2 0.3760 0.3760 0.8720 1
Cr3 0.3760 0.8720 0.3760 1
Cr4 0.8720 0.3760 0.3760 1
```

=====

# 5
# BaCa2Cr

BaCa2Cr after structural relaxation (GGA-PBE, Alexandria).

Its volume is 39.1 A^3/atom. The energy of formation from the pure elements comes out at 1.613 eV/f.u.

The structure in CIF format:
```
data_BaCa2Cr
_cell_length_a 13.8682
_cell_length_b 4.0493
_cell_length_c 6.2201
_cell_angle_alpha 90.00
_cell_angle_beta 116.57
_cell_angle_gamma 90.00
_symmetry_space_group_name_H-M 'P 1'
_symmetry_Int_Tables_number 1
loop_
_symmetry_equiv_pos_as_xyz
'x,y,z'
loop_
_atom_site_label
_atom_site_fract_x
_atom_site_fract_y
_atom_site_fract_z
_atom_site_occupancy
Ba1 0.0000 0.0000 0.0000 1
Ba2 0.5000 0.5000 0.0000 1
Ca1 0.2054 0.0000 0.7054 1
Ca2 0.2946 0.5000 0.2946 1
Ca3 0.7054 0.5000 0.7054 1
Ca4 0.7946 0.0000 0.2946 1
Cr1 0.0000 0.5000 0.5000 1
Cr2 0.5000 0.0000 0.5000 1
```

=====

# 6
# BaCa3Cr

BaCa3Cr after structural relaxation (GGA-PBE, Alexandria).

Its volume is 44.8 A^3/atom. The energy of formation from the pure elements comes out at 6.799 eV/f.u.

The structure in CIF format:
```
data_BaCa3Cr
_cell_length_a 6.0722
_cell_length_b 6.0722
_cell_length_c 6.0722
_cell_angle_alpha 90.00
_cell_angle_beta 90.00
_cell_angle_gamma 90.00
_symmetry_space_group_name_H-M 'P 1'
_symmetry_Int_Tables_number 1
loop_
_symmetry_equiv_pos_as_xyz
'x,y,z'
loop_
_atom_site_label
_atom_site_fract_x
_atom_site_fract_y
_atom_site_fract_z
_atom_site_occupancy
Ba1 0.0000 0.0000 0.0000 1
Ca1 0.0000 0.0000 0.5000 1
Ca2 0.0000 0.5000 0.0000 1
Ca3 0.5000 0.0000 0.0000 1
Cr1 0.5000 0.5000 0.5000 1
```

=====

Question: Which of these has the lowest volume?
Answer: BaCaZn2Co

=====

Please write out number 6 again, unchanged.
# BaCa3Cr

BaCa3Cr after structural relaxation (GGA-PBE, Alexandria).

Its volume is 44.8 A^3/atom. The energy of formation from the pure elements comes out at 6.799 eV/f.u.

The structure in CIF format:
```
data_BaCa3Cr
_cell_length_a 6.0722
_cell_length_b 6.0722
_cell_length_c 6.0722
_cell_angle_alpha 90.00
_cell_angle_beta 90.00
_cell_angle_gamma 90.00
_symmetry_space_group_name_H-M 'P 1'
_symmetry_Int_Tables_number 1
loop_
_symmetry_equiv_pos_as_xyz
'x,y,z'
loop_
_atom_site_label
_atom_site_fract_x
_atom_site_fract_y
_atom_site_fract_z
_atom_site_occupancy
Ba1 0.0000 0.0000 0.0000 1
Ca1 0.0000 0.0000 0.5000 1
Ca2 0.0000 0.5000 0.0000 1
Ca3 0.5000 0.0000 0.0000 1
Cr1 0.5000 0.5000 0.5000 1
```